# 1
# GGA-PBE MgNi, relaxed
data_MgNi
_symmetry_space_group_name_H-M 'P 42/m n m'
_symmetry_Int_Tables_number 136
_symmetry_space_group_name_Hall '-P 4n 2n'
_cell_length_a 5.076
_cell_length_b 5.076
_cell_length_c 5.034
_cell_angle_alpha 90.00
_cell_angle_beta 90.00
_cell_angle_gamma 90.00
loop_
_atom_site_label
_atom_site_fract_x
_atom_site_fract_y
_atom_site_fract_z
Mg1 0.195 0.195 0.000
Ni1 0.172 0.172 0.500
# **Calculated volume**: 16.2 A^3/atom
# **N(E_F)**: 0.6964 states/eV per atom
# **Final energy**: -3.429 eV/atom
# **Density**: 4.2 g/cm³



# 2
# GGA-PBE Ti2TlPb, relaxed
data_Ti2TlPb
_symmetry_space_group_name_H-M 'P 4/m m m'
_symmetry_Int_Tables_number 123
_symmetry_space_group_name_Hall '-P 4 2'
_cell_length_a 4.440
_cell_length_b 4.440
_cell_length_c 4.189
_cell_angle_alpha 90.00
_cell_angle_beta 90.00
_cell_angle_gamma 90.00
loop_
_atom_site_label
_atom_site_fract_x
_atom_site_fract_y
_atom_site_fract_z
Ti1 0.000 0.500 0.000
Tl1 0.000 0.000 0.500
Pb1 0.500 0.500 0.500
# **Calculated volume**: 20.6 A^3/atom
# **Distance to the lowest polymorph of the same formula**: 0.000 eV/atom
# **N(E_F)**: 0.7086 states/eV per atom
# **Final energy**: -5.327 eV/atom
# **Density**: 10.2 g/cm³



# 3
# GGA-PBE KSm2S3, relaxed
data_KSm2S3
_symmetry_space_group_name_H-M 'P 63/m m c'
_symmetry_Int_Tables_number 194
_symmetry_space_group_name_Hall '-P 6c 2c'
_cell_length_a 4.0682
_cell_length_b 4.0682
_cell_length_c 21.5250
_cell_angle_alpha 90.00
_cell_angle_beta 90.00
_cell_angle_gamma 120.00
loop_
_atom_site_label
_atom_site_fract_x
_atom_site_fract_y
_atom_site_fract_z
K1 0.0000 0.0000 0.2500
Sm1 0.3333 0.6667 0.0772
S1 0.0000 0.0000 0.0000
S2 0.3333 0.6667 0.6483
# **Calculated volume**: 25.7 A^3/atom
# **ΔE_f (raw)**: -44.0 kcal/mol of atoms
# **N(E_F)**: 0.3071 states/eV per atom
# **Final energy**: -5.727 eV/atom
# **Density**: 4.7 g/cm³



# 4
# GGA-PBE Dy2ZnPt9, relaxed
data_Dy2ZnPt9
_symmetry_space_group_name_H-M 'P 4/m m m'
_symmetry_Int_Tables_number 123
_symmetry_space_group_name_Hall '-P 4 2'
_cell_length_a 4.081
_cell_length_b 4.081
_cell_length_c 12.056
_cell_angle_alpha 90.00
_cell_angle_beta 90.00
_cell_angle_gamma 90.00
loop_
_atom_site_label
_atom_site_fract_x
_atom_site_fract_y
_atom_site_fract_z
Dy1 0.000 0.000 0.173
Zn1 0.000 0.000 0.500
Pt1 0.000 0.500 0.000
Pt2 0.000 0.500 0.346
Pt3 0.500 0.500 0.173
Pt4 0.500 0.500 0.500
# **Calculated volume**: 16.7 A^3/atom
# **N(E_F)**: 0.9464 states/eV per atom
# **Final energy**: -6.196 eV/atom
# **Density**: 17.7 g/cm³



# 5
# GGA-PBE Zr2Zn3Au2, relaxed
data_Zr2Zn3Au2
_symmetry_space_group_name_H-M 'C m c m'
_symmetry_Int_Tables_number 63
_symmetry_space_group_name_Hall '-C 2c 2'
_cell_length_a 3.449
_cell_length_b 19.794
_cell_length_c 7.502
_cell_angle_alpha 90.00
_cell_angle_beta 90.00
_cell_angle_gamma 90.00
loop_
_atom_site_label
_atom_site_fract_x
_atom_site_fract_y
_atom_site_fract_z
Zr1 0.000 0.060 0.250
Zr2 0.000 0.147 0.750
Zn1 0.000 0.240 0.250
Zn2 0.000 0.450 0.085
Au1 0.000 0.327 0.554
# **Calculated volume**: 18.3 A^3/atom
# **Distance to the lowest polymorph of the same formula**: 0.000 eV/atom
# **N(E_F)**: 0.5869 states/eV per atom
# **Final energy**: -4.219 eV/atom
# **Density**: 10.0 g/cm³



# 6
# GGA-PBE SrAl2GaAg2, relaxed
data_SrAl2GaAg2
_symmetry_space_group_name_H-M 'P 4/m m m'
_symmetry_Int_Tables_number 123
_symmetry_space_group_name_Hall '-P 4 2'
_cell_length_a 4.818
_cell_length_b 4.818
_cell_length_c 6.125
_cell_angle_alpha 90.00
_cell_angle_beta 90.00
_cell_angle_gamma 90.00
loop_
_atom_site_label
_atom_site_fract_x
_atom_site_fract_y
_atom_site_fract_z
Sr1 0.000 0.000 0.000
Al1 0.000 0.500 0.500
Ga1 0.000 0.000 0.500
Ag1 0.500 0.500 0.236
# **Calculated volume**: 23.7 A^3/atom
# **N(E_F)**: 0.3558 states/eV per atom
# **Final energy**: -2.951 eV/atom
# **Density**: 5.0 g/cm³



# 7
# GGA-PBE CaCeGePd, relaxed
data_CaCeGePd
_symmetry_space_group_name_H-M 'F -4 3 m'
_symmetry_Int_Tables_number 216
_symmetry_space_group_name_Hall 'F -4 2 3'
_cell_length_a 7.188
_cell_length_b 7.188
_cell_length_c 7.188
_cell_angle_alpha 90.00
_cell_angle_beta 90.00
_cell_angle_gamma 90.00
loop_
_atom_site_label
_atom_site_fract_x
_atom_site_fract_y
_atom_site_fract_z
Ca1 0.000 0.000 0.000
Ce1 0.000 0.000 0.500
Ge1 0.250 0.250 0.750
Pd1 0.250 0.250 0.250
# **Calculated volume**: 23.2 A^3/atom
# **N(E_F)**: 1.3591 states/eV per atom
# **Final energy**: -5.081 eV/atom
# **Density**: 6.4 g/cm³



# 8
# GGA-PBE CsFeHPb2, relaxed
data_CsFeHPb2
_symmetry_space_group_name_H-M 'P 4/m m m'
_symmetry_Int_Tables_number 123
_symmetry_space_group_name_Hall '-P 4 2'
_cell_length_a 6.552
_cell_length_b 6.552
_cell_length_c 5.411
_cell_angle_alpha 90.00
_cell_angle_beta 90.00
_cell_angle_gamma 90.00
loop_
_atom_site_label
_atom_site_fract_x
_atom_site_fract_y
_atom_site_fract_z
Cs1 0.000 0.000 0.000
Fe1 0.000 0.000 0.500
H1 0.500 0.500 0.500
Pb1 0.000 0.500 0.000
# **Calculated volume**: 46.5 A^3/atom
# **N(E_F)**: 2.1389 states/eV per atom
# **Final energy**: -1.911 eV/atom
# **Density**: 4.3 g/cm³



# 9
# GGA-PBE TiH2I, relaxed
data_TiH2I
_symmetry_space_group_name_H-M 'F m -3 m'
_symmetry_Int_Tables_number 225
_symmetry_space_group_name_Hall '-F 4 2 3'
_cell_length_a 6.014
_cell_length_b 6.014
_cell_length_c 6.014
_cell_angle_alpha 90.00
_cell_angle_beta 90.00
_cell_angle_gamma 90.00
loop_
_atom_site_label
_atom_site_fract_x
_atom_site_fract_y
_atom_site_fract_z
Ti1 0.000 0.000 0.000
H1 0.250 0.250 0.250
I1 0.000 0.000 0.500
# **Calculated volume**: 13.6 A^3/atom
# **Distance to the lowest polymorph of the same formula**: 0.739 eV/atom
# **N(E_F)**: 1.3128 states/eV per atom
# **Final energy**: -3.260 eV/atom
# **Density**: 5.4 g/cm³



# 10
# GGA-PBE ScTcPb2O6, relaxed
data_ScTcPb2O6
_symmetry_space_group_name_H-M 'P 1 21/c 1'
_symmetry_Int_Tables_number 14
_cell_length_a 5.757
_cell_length_b 5.736
_cell_length_c 9.913
_cell_angle_alpha 90.00
_cell_angle_beta 125.35
_cell_angle_gamma 90.00
loop_
_symmetry_equiv_pos_as_xyz
'x,y,z'
'-x,-y,-z'
'-x,y+1/2,-z+1/2'
'x,-y+1/2,z+1/2'
loop_
_atom_site_label
_atom_site_fract_x
_atom_site_fract_y
_atom_site_fract_z
Sc1 0.000 0.000 0.000
Tc1 0.500 0.000 0.500
Pb1 0.258 0.015 0.751
O1 0.200 0.006 0.259
O2 0.271 0.722 0.032
O3 0.312 0.237 0.032
# **Calculated volume**: 13.4 A^3/atom
# **ΔE_f (raw)**: -41.5 kcal/mol of atoms
# **N(E_F)**: 0.3557 states/eV per atom
# **Final energy**: -7.184 eV/atom
# **Density**: 8.1 g/cm³



# 11
# GGA-PBE BaNb2Pt, relaxed
data_BaNb2Pt
_symmetry_space_group_name_H-M 'I 41/a m d'
_symmetry_Int_Tables_number 141
_cell_length_a 4.999
_cell_length_b 4.999
_cell_length_c 19.122
_cell_angle_alpha 90.00
_cell_angle_beta 90.00
_cell_angle_gamma 90.00
loop_
_symmetry_equiv_pos_as_xyz
'x,y,z'
'-x,-y,-z'
'-y+1/4,x+3/4,z+1/4'
'y+1/4,-x+3/4,-z+1/4'
'-x+1/2,-y,z+1/2'
'x+1/2,y,-z+1/2'
'y+1/4,-x+1/4,z+3/4'
'-y+1/4,x+1/4,-z+3/4'
'x,-y,-z'
'-x,y,z'
'-y+1/4,-x+1/4,-z+3/4'
'y+1/4,x+1/4,z+3/4'
'-x+1/2,y,-z+1/2'
'x+1/2,-y,z+1/2'
'y+1/4,x+3/4,-z+1/4'
'-y+1/4,-x+3/4,z+1/4'
'x+1/2,y+1/2,z+1/2'
'-x+1/2,-y+1/2,-z+1/2'
'-y+3/4,x+1/4,z+3/4'
'y+3/4,-x+1/4,-z+3/4'
'-x,-y+1/2,z'
'x,y+1/2,-z'
'y+3/4,-x+3/4,z+1/4'
'-y+3/4,x+3/4,-z+1/4'
'x+1/2,-y+1/2,-z+1/2'
'-x+1/2,y+1/2,z+1/2'
'-y+3/4,-x+3/4,-z+1/4'
'y+3/4,x+3/4,z+1/4'
'-x,y+1/2,-z'
'x,-y+1/2,z'
'y+3/4,x+1/4,-z+3/4'
'-y+3/4,-x+1/4,z+3/4'
loop_
_atom_site_label
_atom_site_fract_x
_atom_site_fract_y
_atom_site_fract_z
Ba1 0.000 0.250 0.375
Nb1 0.000 0.000 0.000
Pt1 0.000 0.250 0.875
# **Calculated volume**: 29.9 A^3/atom
# **Distance to the lowest polymorph of the same formula**: 0.024 eV/atom
# **N(E_F)**: 1.8690 states/eV per atom
# **Final energy**: -6.424 eV/atom
# **Density**: 7.2 g/cm³



# 12
# GGA-PBE ScAl5, relaxed
data_ScAl5
_symmetry_space_group_name_H-M 'P 4/m m m'
_symmetry_Int_Tables_number 123
_symmetry_space_group_name_Hall '-P 4 2'
_cell_length_a 2.939
_cell_length_b 2.939
_cell_length_c 12.146
_cell_angle_alpha 90.00
_cell_angle_beta 90.00
_cell_angle_gamma 90.00
loop_
_atom_site_label
_atom_site_fract_x
_atom_site_fract_y
_atom_site_fract_z
Sc1 0.000 0.000 0.000
Al1 0.000 0.000 0.338
Al2 0.500 0.500 0.178
Al3 0.500 0.500 0.500
# **Calculated volume**: 17.5 A^3/atom
# **Distance to the lowest polymorph of the same formula**: 0.136 eV/atom
# **N(E_F)**: 0.4942 states/eV per atom
# **Final energy**: -4.290 eV/atom
# **Density**: 2.8 g/cm³